Entry 1:
VASP calculation (PBE) on Ca2GeB after structural relaxation.

Output
**ΔE_f**: 0.4779 eV/atom
**Calculated total energy**: -53.5 eV per cell
**M_tot**: 0.00 Bohr magnetons per cell
**Calculated density**: 2.89 g cm⁻³
**N(E_F)**: 12.871 states/eV per cell

```
data_Ca2GeB
_chemical_formula_sum 'Ca8 Ge4 B4'
_symmetry_space_group_name_H-M 'I -4 2 d'
_symmetry_Int_Tables_number 122
_symmetry_space_group_name_Hall 'I -4 2bw'
_cell_length_a 7.625
_cell_length_b 7.625
_cell_length_c 6.469
_cell_angle_alpha 90.00
_cell_angle_beta 90.00
_cell_angle_gamma 90.00
loop_
_atom_site_label
_atom_site_fract_x
_atom_site_fract_y
_atom_site_fract_z
Ca1 0.211 0.250 0.125
Ge1 0.000 0.000 0.500
B1 0.000 0.000 0.000
```

=====

Entry 2:
VASP calculation (PBE) on Ba2NaCaI after structural relaxation.

Output
**Formation energy from raw total energies**: 0.008 eV per formula unit
**Calculated total energy**: -8.7 eV per cell
**M_tot**: 0.00 Bohr magnetons per cell
**Calculated density**: 2.69 g cm⁻³
**N(E_F)**: 5.503 states/eV per cell

```
data_Ba2NaCaI
_chemical_formula_sum 'Ba2 Na1 Ca1 I1'
_symmetry_space_group_name_H-M 'P 4/m m m'
_symmetry_Int_Tables_number 123
_symmetry_space_group_name_Hall '-P 4 2'
_cell_length_a 7.135
_cell_length_b 7.135
_cell_length_c 5.634
_cell_angle_alpha 90.00
_cell_angle_beta 90.00
_cell_angle_gamma 90.00
loop_
_atom_site_label
_atom_site_fract_x
_atom_site_fract_y
_atom_site_fract_z
Ba1 0.000 0.500 0.000
Na1 0.000 0.000 0.000
Ca1 0.500 0.500 0.500
I1 0.000 0.000 0.500
```

=====

Entry 3:
VASP calculation (PBE) on PmYP2Rh5 after structural relaxation.

Output
**ΔE_f**: -0.7535 eV/atom
**Calculated total energy**: -65.6 eV per cell
**M_tot**: 0.00 Bohr magnetons per cell
**Calculated density**: 7.63 g cm⁻³
**N(E_F)**: 3.763 states/eV per cell

```
data_PmYP2Rh5
_chemical_formula_sum 'Pm1 Y1 P2 Rh5'
_symmetry_space_group_name_H-M 'P 4/m m m'
_symmetry_Int_Tables_number 123
_symmetry_space_group_name_Hall '-P 4 2'
_cell_length_a 4.053
_cell_length_b 4.053
_cell_length_c 10.744
_cell_angle_alpha 90.00
_cell_angle_beta 90.00
_cell_angle_gamma 90.00
loop_
_atom_site_label
_atom_site_fract_x
_atom_site_fract_y
_atom_site_fract_z
Pm1 0.000 0.000 0.000
Y1 0.000 0.000 0.500
P1 0.500 0.500 0.211
Rh1 0.000 0.500 0.303
Rh2 0.500 0.500 0.000
```

=====

Entry 4:
VASP calculation (PBE) on TbMg2Rh2 after structural relaxation.

Output
**ΔE_f**: -0.5061 eV/atom
**Calculated total energy**: -50.1 eV per cell
**M_tot**: 0.00 Bohr magnetons per cell
**Calculated density**: 6.94 g cm⁻³
**N(E_F)**: 3.222 states/eV per cell

```
data_TbMg2Rh2
_chemical_formula_sum 'Tb2 Mg4 Rh4'
_symmetry_space_group_name_H-M 'C m m m'
_symmetry_Int_Tables_number 65
_symmetry_space_group_name_Hall '-C 2 2'
_cell_length_a 3.301
_cell_length_b 18.365
_cell_length_c 3.261
_cell_angle_alpha 90.00
_cell_angle_beta 90.00
_cell_angle_gamma 90.00
loop_
_atom_site_label
_atom_site_fract_x
_atom_site_fract_y
_atom_site_fract_z
Tb1 0.000 0.000 0.000
Mg1 0.000 0.176 0.000
Rh1 0.000 0.402 0.500
```

=====

Entry 5:
VASP calculation (PBE) on La2GaAgPd6 after structural relaxation.

Output
**ΔE_f**: -0.5214 eV/atom
**Calculated total energy**: -52.1 eV per cell
**M_tot**: 0.00 Bohr magnetons per cell
**Calculated density**: 8.16 g cm⁻³
**N(E_F)**: 4.750 states/eV per cell

```
data_La2GaAgPd6
_chemical_formula_sum 'La2 Ga1 Ag1 Pd6'
_symmetry_space_group_name_H-M 'P -1'
_symmetry_Int_Tables_number 2
_symmetry_space_group_name_Hall '-P 1'
_cell_length_a 5.667
_cell_length_b 5.673
_cell_length_c 8.619
_cell_angle_alpha 70.98
_cell_angle_beta 70.94
_cell_angle_gamma 60.21
loop_
_atom_site_label
_atom_site_fract_x
_atom_site_fract_y
_atom_site_fract_z
La1 0.218 0.220 0.350
Ga1 0.000 0.000 0.000
Ag1 0.500 0.500 0.500
Pd1 0.242 0.732 0.773
Pd2 0.244 0.241 0.765
Pd3 0.264 0.761 0.229
```

=====

Entry 6:
VASP calculation (PBE) on La2HPtAu after structural relaxation.

Output
**Calculated total energy**: -26.1 eV per cell
**M_tot**: 0.00 Bohr magnetons per cell
**Calculated density**: 10.60 g cm⁻³
**N(E_F)**: 4.299 states/eV per cell

```
data_La2HPtAu
_chemical_formula_sum 'La2 H1 Pt1 Au1'
_symmetry_space_group_name_H-M 'P 4/m m m'
_symmetry_Int_Tables_number 123
_symmetry_space_group_name_Hall '-P 4 2'
_cell_length_a 5.154
_cell_length_b 5.154
_cell_length_c 3.958
_cell_angle_alpha 90.00
_cell_angle_beta 90.00
_cell_angle_gamma 90.00
loop_
_atom_site_label
_atom_site_fract_x
_atom_site_fract_y
_atom_site_fract_z
La1 0.000 0.500 0.000
H1 0.000 0.000 0.000
Pt1 0.500 0.500 0.500
Au1 0.000 0.000 0.500
```

=====

Repeat the sixth record exactly.
VASP calculation (PBE) on La2HPtAu after structural relaxation.

Output
**Calculated total energy**: -26.1 eV per cell
**M_tot**: 0.00 Bohr magnetons per cell
**Calculated density**: 10.60 g cm⁻³
**N(E_F)**: 4.299 states/eV per cell

```
data_La2HPtAu
_chemical_formula_sum 'La2 H1 Pt1 Au1'
_symmetry_space_group_name_H-M 'P 4/m m m'
_symmetry_Int_Tables_number 123
_symmetry_space_group_name_Hall '-P 4 2'
_cell_length_a 5.154
_cell_length_b 5.154
_cell_length_c 3.958
_cell_angle_alpha 90.00
_cell_angle_beta 90.00
_cell_angle_gamma 90.00
loop_
_atom_site_label
_atom_site_fract_x
_atom_site_fract_y
_atom_site_fract_z
La1 0.000 0.500 0.000
H1 0.000 0.000 0.000
Pt1 0.500 0.500 0.500
Au1 0.000 0.000 0.500
```

=====

- Look up the N(E_F) of the fifth one.
  4.750 states/eV per cell

=====

- Which of these has the lowest N(E_F)?
  TbMg2Rh2